Density functional theory data (PBE) for a relaxed Rb3Pa3Te8Au crystal.

- Raw total energy: -4.79 eV/atom
- Fermi-level density of states: 29.0 states/eV per cell
- Magnetic moment: 3.0 μB per formula unit

a = 14.560 Å, b = 9.504 Å, c = 9.603 Å
α = 90.00°, β = 116.14°, γ = 90.00°
Space group C2/m (No. 12)
Unique sites:
Rb 0.000 0.000 0.000
Rb 0.250 0.250 0.000
Pa 0.000 0.500 0.500
Pa 0.250 0.250 0.500
Te 0.027 0.285 0.284
Te 0.203 0.000 0.677
Te 0.236 0.500 0.704
Au 0.000 0.000 0.500

=====

Density functional theory data (PBE) for a relaxed ScPaReAu crystal.

- Calculated formation energy: -0.188 eV per atom
- Fermi-level density of states: 24.8 states/eV per cell
- Magnetic moment: 0.0 μB per formula unit

a = 6.884 Å, b = 6.884 Å, c = 6.884 Å
α = 90.00°, β = 90.00°, γ = 90.00°
Space group F-43m (No. 216)
Unique sites:
Sc 0.000 0.000 0.000
Pa 0.000 0.000 0.500
Re 0.250 0.250 0.750
Au 0.250 0.250 0.250

=====

Density functional theory data (PBE) for a relaxed Pa2RhAu crystal.

- Calculated formation energy: 0.044 eV per atom
- Offset from the most stable computed form: 0.436 eV/atom
- Fermi-level density of states: 20.6 states/eV per cell
- Magnetic moment: 0.0 μB per formula unit

a = 3.0893 Å, b = 3.0893 Å, c = 31.9423 Å
α = 90.00°, β = 90.00°, γ = 120.00°
Space group R-3m (No. 166, hexagonal axes)
Unique sites:
Pa 0.0000 0.0000 0.0937
Rh 0.0000 0.0000 0.5000
Au 0.0000 0.0000 0.0000

=====

Density functional theory data (PBE) for a relaxed Pa2Rh3Au4 crystal.

- Calculated formation energy: -0.547 eV per atom
- Fermi-level density of states: 6.5 states/eV per cell
- Magnetic moment: 0.0 μB per formula unit

a = 10.405 Å, b = 3.871 Å, c = 9.409 Å
α = 90.00°, β = 116.87°, γ = 90.00°
Space group C2/m (No. 12)
Unique sites:
Pa 0.164 0.000 0.229
Rh 0.000 0.500 0.000
Rh 0.187 0.000 0.576
Au 0.002 0.500 0.654
Au 0.165 0.000 0.889

=====

Density functional theory data (PBE) for a relaxed PaRhAu2 crystal.

- Calculated formation energy: -0.521 eV per atom
- Offset from the most stable computed form: 0.000 eV/atom
- Fermi-level density of states: 11.9 states/eV per cell
- Magnetic moment: 0.0 μB per formula unit

a = 4.013 Å, b = 19.673 Å, c = 3.982 Å
α = 90.00°, β = 90.00°, γ = 90.00°
Space group Cmcm (No. 63)
Unique sites:
Pa 0.000 0.185 0.250
Rh 0.000 0.331 0.250
Au 0.000 0.060 0.750
Au 0.000 0.441 0.750

=====

Density functional theory data (PBE) for a relaxed PaRhAu2 crystal.

- Calculated formation energy: 0.335 eV per atom
- Offset from the most stable computed form: 0.856 eV/atom
- Fermi-level density of states: 21.6 states/eV per cell
- Magnetic moment: 0.8 μB per formula unit

a = 2.9141 Å, b = 2.9141 Å, c = 32.0489 Å
α = 90.00°, β = 90.00°, γ = 120.00°
Space group R-3m (No. 166, hexagonal axes)
Unique sites:
Pa 0.0000 0.0000 0.0000
Rh 0.0000 0.0000 0.5000
Au 0.0000 0.0000 0.0950